Entry from Alexandria via LeMat-Bulk: a relaxed KZn3Mo crystal (GGA-PBE).

Lattice parameters (Å, degrees): 4.952 4.952 4.952 90.00 90.00 90.00
Positions (direct):
1 K 0.000 0.000 0.000
2 Zn 0.000 0.000 0.500
3 Zn 0.000 0.500 0.000
4 Zn 0.500 0.000 0.000
5 Mo 0.500 0.500 0.500

Output
The offset from the most stable computed form is 1444 meV per atom. For the energy of formation from the pure elements, the calculation gives 2.04 eV per atom.


Entry from Alexandria via LeMat-Bulk: a relaxed NbGaHPd2 crystal (GGA-PBE).

Lattice parameters (Å, degrees): 3.903 3.903 4.382 90.00 90.00 90.00
Positions (direct):
1 Nb 0.000 0.000 0.000
2 Ga 0.500 0.500 0.000
3 H 0.000 0.000 0.500
4 Pd 0.000 0.500 0.500
5 Pd 0.500 0.000 0.500


The evaluated final energy for the records listed, in turn: -1.111, -5.598 eV/atom.
The evaluated total moment for the records listed, in turn: 0.0057, 0.0000 μB/atom.